A relaxed structure of Rh2PbWN, computed with PBE.

As for the density of states at the Fermi level: 4.0 states/eV/f.u. The value obtained for the spin magnetization is 2.11 μB per formula unit. The calculated density comes out at 8.32 Mg/m³. Its electronic total energy is -5.903 eV/atom. For the uncorrected formation energy, the calculation gives 2.035 eV per atom.

The space group is P4/mmm (No. 123) and the conventional cell measures 4.685, 4.685 and 5.555 Å, with angles of 90.00, 90.00 and 90.00 degrees. The distinct sites, in fractional coordinates, are Rh at (0.000, 0.500, 0.000), Pb at (0.000, 0.000, 0.500), W at (0.000, 0.000, 0.000) and N at (0.500, 0.500, 0.500).

A relaxed structure of AlGe2Rh2, computed with PBE.

As for the density of states at the Fermi level: 3.2 states/eV/f.u. Its formation energy is -0.23 eV/atom. The value obtained for the spin magnetization is 0.00 μB per formula unit. The calculated density comes out at 7.98 Mg/m³. Its electronic total energy is -5.766 eV/atom.

The space group is P4/mbm (No. 127) and the conventional cell measures 7.482, 7.482 and 2.812 Å, with angles of 90.00, 90.00 and 90.00 degrees. The distinct sites, in fractional coordinates, are Al at (0.000, 0.000, 0.000), Ge at (0.146, 0.354, 0.000) and Rh at (0.148, 0.648, 0.500).

A relaxed structure of Zr4FeAu, computed with PBE.

As for the density of states at the Fermi level: 5.8 states/eV/f.u. Its formation energy is -0.27 eV/atom. The value obtained for the spin magnetization is 0.00 μB per formula unit. The calculated density comes out at 8.43 Mg/m³. Its electronic total energy is -7.923 eV/atom.

The space group is P4/mcc (No. 124) and the conventional cell measures 6.546, 6.546 and 5.678 Å, with angles of 90.00, 90.00 and 90.00 degrees. The distinct sites, in fractional coordinates, are Zr at (0.149, 0.315, 0.000), Fe at (0.000, 0.000, 0.250) and Au at (0.500, 0.500, 0.250).